<i>
Entry from Alexandria: a relaxed structure of CaNdSc (PBE).

Density: 3.86 g cm⁻³
D(E_F): 9.832 states/eV per cell
Crystal system: monoclinic

a b c (Å): 3.5434 5.5822 9.9767
angles (deg): 90.00 90.10 90.00
Space group P2_1/m (No. 11)
Symmetry-distinct sites (fractional):
Ca (0.2488, 0.2500, 0.1095) [2 per cell]
Nd (0.2500, 0.2500, 0.7274) [2 per cell]
Sc (0.2511, 0.7500, 0.5559) [2 per cell]

---

<ii>
Entry from Alexandria: a relaxed structure of CaNdSc (PBE).

Density: 3.85 g cm⁻³
D(E_F): 10.975 states/eV per cell
Crystal system: tetragonal

a b c (Å): 3.6331 3.6331 14.9823
angles (deg): 90.00 90.00 90.00
Space group I4mm (No. 107)
Symmetry-distinct sites (fractional):
Ca (0.0000, 0.0000, 0.0000) [2 per cell]
Nd (0.0000, 0.0000, 0.6879) [2 per cell]
Sc (0.0000, 0.0000, 0.3318) [2 per cell]

---

<iii>
Entry from Alexandria: a relaxed structure of CaNdSc (PBE).

Density: 3.88 g cm⁻³
D(E_F): 3.972 states/eV per cell
Crystal system: trigonal

a b c (Å): 3.5766 3.5766 8.8636
angles (deg): 90.00 90.00 120.00
Space group P3m1 (No. 156)
Symmetry-distinct sites (fractional):
Ca (0.0000, 0.0000, 0.0000) [1 per cell]
Nd (0.3333, 0.6667, 0.6304) [1 per cell]
Sc (0.6667, 0.3333, 0.3324) [1 per cell]

---

Which of them is the most stable? Correct choice: <ii>.

---

<i>
Entry from Alexandria: a relaxed structure of CaNdSe2 (PBE).

Density: 5.30 g cm⁻³
D(E_F): 2.498 states/eV per cell
Crystal system: hexagonal

a b c (Å): 4.1447 4.1447 14.4031
angles (deg): 90.00 90.00 120.00
Space group P6_3/mmc (No. 194)
Symmetry-distinct sites (fractional):
Ca (0.3333, 0.6667, 0.2500) [2 per cell]
Nd (0.0000, 0.0000, 0.0000) [2 per cell]
Se (0.3333, 0.6667, 0.6252) [4 per cell]

---

<ii>
Entry from Alexandria: a relaxed structure of CaNdSe2 (PBE).

Density: 5.26 g cm⁻³
D(E_F): 6.727 states/eV per cell
Crystal system: trigonal

a b c (Å): 4.1121 4.1121 22.1256
angles (deg): 90.00 90.00 120.00
Space group R3m (No. 160, hexagonal axes)
Symmetry-distinct sites (fractional):
Ca (0.0000, 0.0000, 0.0000) [3 per cell]
Nd (0.0000, 0.0000, 0.8270) [3 per cell]
Se (0.0000, 0.0000, 0.2457) [3 per cell]
Se (0.0000, 0.0000, 0.4118) [3 per cell]

---

<iii>
Entry from Alexandria: a relaxed structure of CaNdSe2 (PBE).

Density: 5.36 g cm⁻³
D(E_F): 2.943 states/eV per cell
Crystal system: monoclinic

a b c (Å): 7.2410 4.1800 7.4071
angles (deg): 90.00 108.94 90.00
Space group C2/m (No. 12)
Symmetry-distinct sites (fractional):
Ca (0.0000, 0.0000, 0.0000) [2 per cell]
Nd (0.0000, 0.5000, 0.5000) [2 per cell]
Se (0.2477, 0.5000, 0.2432) [4 per cell]

---

Which of them is the most stable? Correct choice: <iii>.

---

<i>
Entry from Alexandria: a relaxed structure of CaNd2Si (PBE).

Density: 3.79 g cm⁻³
D(E_F): 14.927 states/eV per cell
Crystal system: trigonal

a b c (Å): 4.0666 4.0666 32.6937
angles (deg): 90.00 90.00 120.00
Space group R-3m (No. 166, hexagonal axes)
Symmetry-distinct sites (fractional):
Ca (0.0000, 0.0000, 0.0000) [3 per cell]
Nd (0.0000, 0.0000, 0.1156) [6 per cell]
Si (0.0000, 0.0000, 0.5000) [3 per cell]

---

<ii>
Entry from Alexandria: a relaxed structure of CaNd2Si (PBE).

Density: 5.09 g cm⁻³
D(E_F): 3.830 states/eV per cell
Crystal system: tetragonal

a b c (Å): 4.0274 4.0274 7.1683
angles (deg): 90.00 90.00 90.00
Space group P4/mmm (No. 123)
Symmetry-distinct sites (fractional):
Ca (0.0000, 0.0000, 0.0000) [1 per cell]
Nd (0.5000, 0.5000, 0.2941) [2 per cell]
Si (0.0000, 0.0000, 0.5000) [1 per cell]

---

Which of them is the most stable? Correct choice: <ii>.

---

<i>
Entry from Alexandria: a relaxed structure of CaNdSi4 (PBE).

Density: 4.36 g cm⁻³
D(E_F): 19.202 states/eV per cell
Crystal system: cubic

a b c (Å): 7.6717 7.6717 7.6717
angles (deg): 90.00 90.00 90.00
Space group F-43m (No. 216)
Symmetry-distinct sites (fractional):
Ca (0.0000, 0.0000, 0.0000) [4 per cell]
Nd (0.2500, 0.2500, 0.2500) [4 per cell]
Si (0.1261, 0.1261, 0.6261) [16 per cell]

---

<ii>
Entry from Alexandria: a relaxed structure of CaNdSi4 (PBE).

Density: 3.94 g cm⁻³
D(E_F): 3.991 states/eV per cell
Crystal system: tetragonal

a b c (Å): 4.3185 4.3185 13.4062
angles (deg): 90.00 90.00 90.00
Space group I-4m2 (No. 119)
Symmetry-distinct sites (fractional):
Ca (0.0000, 0.0000, 0.0000) [2 per cell]
Nd (0.0000, 0.5000, 0.7500) [2 per cell]
Si (0.0000, 0.0000, 0.4135) [4 per cell]
Si (0.0000, 0.5000, 0.1641) [4 per cell]

---

Which of them is the most stable? Correct choice: <ii>.

---

<i>
Entry from Alexandria: a relaxed structure of CaNdSm2 (PBE).

Density: 5.63 g cm⁻³
D(E_F): 18.919 states/eV per cell
Crystal system: trigonal

a b c (Å): 3.6818 3.6818 36.5553
angles (deg): 90.00 90.00 120.00
Space group R3m (No. 160, hexagonal axes)
Symmetry-distinct sites (fractional):
Ca (0.0000, 0.0000, 0.0000) [3 per cell]
Nd (0.0000, 0.0000, 0.8342) [3 per cell]
Sm (0.0000, 0.0000, 0.2471) [3 per cell]
Sm (0.0000, 0.0000, 0.4206) [3 per cell]

---

<ii>
Entry from Alexandria: a relaxed structure of CaNdSm2 (PBE).

Density: 5.62 g cm⁻³
D(E_F): 22.579 states/eV per cell
Crystal system: monoclinic

a b c (Å): 24.4396 3.5625 6.6027
angles (deg): 90.00 94.37 90.00
Space group C2/m (No. 12)
Symmetry-distinct sites (fractional):
Ca (0.0014, 0.0000, 0.2489) [4 per cell]
Nd (0.2479, 0.0000, 0.2480) [4 per cell]
Sm (0.1248, 0.5000, 0.0321) [4 per cell]
Sm (0.1345, 0.0000, 0.5441) [4 per cell]

---

<iii>
Entry from Alexandria: a relaxed structure of CaNdSm2 (PBE).

Density: 5.71 g cm⁻³
D(E_F): 6.634 states/eV per cell
Crystal system: tetragonal

a b c (Å): 5.1864 5.1864 5.2416
angles (deg): 90.00 90.00 90.00
Space group P4/mmm (No. 123)
Symmetry-distinct sites (fractional):
Ca (0.0000, 0.0000, 0.0000) [1 per cell]
Nd (0.5000, 0.5000, 0.0000) [1 per cell]
Sm (0.0000, 0.5000, 0.5000) [2 per cell]

---

Which of them is the most stable? Correct choice: <i>.

---

<i>
Entry from Alexandria: a relaxed structure of CaNdSm2 (PBE).

Density: 5.61 g cm⁻³
D(E_F): 5.948 states/eV per cell
Crystal system: tetragonal

a b c (Å): 3.6911 3.6911 10.5292
angles (deg): 90.00 90.00 90.00
Space group P4/mmm (No. 123)
Symmetry-distinct sites (fractional):
Ca (0.0000, 0.0000, 0.0000) [1 per cell]
Nd (0.0000, 0.0000, 0.5000) [1 per cell]
Sm (0.5000, 0.5000, 0.2648) [2 per cell]

---

<ii>
Entry from Alexandria: a relaxed structure of CaNdSm2 (PBE).

Density: 5.65 g cm⁻³
D(E_F): 32.326 states/eV per cell
Crystal system: cubic

a b c (Å): 8.2902 8.2902 8.2902
angles (deg): 90.00 90.00 90.00
Space group Fm-3m (No. 225)
Symmetry-distinct sites (fractional):
Ca (0.0000, 0.0000, 0.0000) [4 per cell]
Nd (0.0000, 0.0000, 0.5000) [4 per cell]
Sm (0.2500, 0.2500, 0.2500) [8 per cell]

---

Which of them is the most stable? Correct choice: <i>.

---

<i>
Entry from Alexandria: a relaxed structure of CaNd5Sm3 (PBE).

Density: 6.24 g cm⁻³
D(E_F): 47.997 states/eV per cell
Crystal system: monoclinic

a b c (Å): 16.3887 6.9499 11.9045
angles (deg): 90.00 107.89 90.00
Space group C2/c (No. 15)
Symmetry-distinct sites (fractional):
Ca (0.0000, 0.2248, 0.2500) [4 per cell]
Nd (0.0000, 0.3131, 0.7500) [4 per cell]
Nd (0.1081, 0.4943, 0.5435) [8 per cell]
Nd (0.1783, 0.1201, 0.8699) [8 per cell]
Sm (0.0000, 0.0000, 0.0000) [4 per cell]
Sm (0.2430, 0.3873, 0.3640) [8 per cell]

---

<ii>
Entry from Alexandria: a relaxed structure of CaNd5Sm3 (PBE).

Density: 5.60 g cm⁻³
D(E_F): 58.033 states/eV per cell
Crystal system: monoclinic

a b c (Å): 15.5643 11.7544 10.1522
angles (deg): 90.00 129.21 90.00
Space group C2/m (No. 12)
Symmetry-distinct sites (fractional):
Ca (0.2481, 0.0000, 0.4080) [4 per cell]
Nd (0.0000, 0.2530, 0.0000) [4 per cell]
Nd (0.1474, 0.2539, 0.7468) [8 per cell]
Nd (0.2239, 0.0000, 0.0436) [4 per cell]
Nd (0.2310, 0.5000, 0.2265) [4 per cell]
Sm (0.0000, 0.0000, 0.0000) [2 per cell]
Sm (0.0000, 0.5000, 0.5000) [2 per cell]
Sm (0.0077, 0.0000, 0.3490) [4 per cell]
Sm (0.0082, 0.5000, 0.8252) [4 per cell]

---

Which of them is the most stable? Correct choice: <i>.

---

<i>
Entry from Alexandria: a relaxed structure of Ca2NdSm2 (PBE).

Density: 4.76 g cm⁻³
D(E_F): 15.605 states/eV per cell
Crystal system: tetragonal

a b c (Å): 9.5477 9.5477 4.0219
angles (deg): 90.00 90.00 90.00
Space group P4/mbm (No. 127)
Symmetry-distinct sites (fractional):
Ca (0.1725, 0.3275, 0.0000) [4 per cell]
Nd (0.0000, 0.0000, 0.5000) [2 per cell]
Sm (0.1263, 0.6263, 0.5000) [4 per cell]

---

<ii>
Entry from Alexandria: a relaxed structure of Ca2NdSm2 (PBE).

Density: 4.72 g cm⁻³
D(E_F): 15.425 states/eV per cell
Crystal system: monoclinic

a b c (Å): 6.4268 3.7105 15.6495
angles (deg): 90.00 97.97 90.00
Space group C2/m (No. 12)
Symmetry-distinct sites (fractional):
Ca (0.2004, 0.0000, 0.1068) [4 per cell]
Nd (0.0000, 0.0000, 0.5000) [2 per cell]
Sm (0.1033, 0.5000, 0.3118) [4 per cell]

---

Which of them is the most stable? Correct choice: <ii>.